No. 1
A geometry-optimized BaCo2Hg structure. Source: Alexandria via LeMat-Bulk, functional GGA-PBE.

**Crystal system**: monoclinic

Structure (CIF):
```
data_BaCo2Hg
_chemical_formula_sum 'Ba2 Co4 Hg2'
_space_group_name_H-M_alt 'C 1 2/m 1'
_space_group_IT_number 12
_cell_length_a 6.466
_cell_length_b 8.869
_cell_length_c 3.221
_cell_angle_alpha 90.00
_cell_angle_beta 115.17
_cell_angle_gamma 90.00
loop_
_space_group_symop_operation_xyz
'x,y,z'
'-x,-y,-z'
'-x,y,-z'
'x,-y,z'
'x+1/2,y+1/2,z'
'-x+1/2,-y+1/2,-z'
'-x+1/2,y+1/2,-z'
'x+1/2,-y+1/2,z'
loop_
_atom_site_label
_atom_site_fract_x
_atom_site_fract_y
_atom_site_fract_z
Ba1 0.000 0.000 0.000
Co1 0.250 0.250 0.500
Hg1 0.000 0.500 0.000
```

No. 2
A geometry-optimized Ba2Co2Hg structure. Source: Alexandria via LeMat-Bulk, functional GGA-PBE.

**Crystal system**: tetragonal

Structure (CIF):
```
data_Ba2Co2Hg
_chemical_formula_sum 'Ba4 Co4 Hg2'
_space_group_name_H-M_alt 'P 4/m b m'
_space_group_IT_number 127
_space_group_name_Hall '-P 4 2ab'
_cell_length_a 7.750
_cell_length_b 7.750
_cell_length_c 4.660
_cell_angle_alpha 90.00
_cell_angle_beta 90.00
_cell_angle_gamma 90.00
loop_
_atom_site_label
_atom_site_fract_x
_atom_site_fract_y
_atom_site_fract_z
Ba1 0.184 0.316 0.000
Co1 0.099 0.599 0.500
Hg1 0.000 0.000 0.500
```

No. 3
A geometry-optimized BaCo2Hg structure. Source: Alexandria via LeMat-Bulk, functional GGA-PBE.

**Crystal system**: monoclinic

Structure (CIF):
```
data_BaCo2Hg
_chemical_formula_sum 'Ba1 Co2 Hg1'
_space_group_name_H-M_alt 'P 1 m 1'
_space_group_IT_number 6
_cell_length_a 4.251
_cell_length_b 3.894
_cell_length_c 6.069
_cell_angle_alpha 90.00
_cell_angle_beta 110.41
_cell_angle_gamma 90.00
loop_
_space_group_symop_operation_xyz
'x,y,z'
'x,-y,z'
loop_
_atom_site_label
_atom_site_fract_x
_atom_site_fract_y
_atom_site_fract_z
Ba1 0.000 0.000 0.000
Co1 0.277 0.000 0.550
Co2 0.366 0.500 0.732
Hg1 0.718 0.500 0.434
```

No. 4
A geometry-optimized BaCo2Hg structure. Source: Alexandria via LeMat-Bulk, functional GGA-PBE.

**Crystal system**: tetragonal

Structure (CIF):
```
data_BaCo2Hg
_chemical_formula_sum 'Ba2 Co4 Hg2'
_space_group_name_H-M_alt 'I -4 m 2'
_space_group_IT_number 119
_space_group_name_Hall 'I -4 -2'
_cell_length_a 5.025
_cell_length_b 5.025
_cell_length_c 7.381
_cell_angle_alpha 90.00
_cell_angle_beta 90.00
_cell_angle_gamma 90.00
loop_
_atom_site_label
_atom_site_fract_x
_atom_site_fract_y
_atom_site_fract_z
Ba1 0.000 0.000 0.000
Co1 0.000 0.000 0.500
Co2 0.000 0.500 0.750
Hg1 0.000 0.500 0.250
```

| no. | E_form (eV/atom) |
| --- | --- |
| 1 | 0.8673 |
| 2 | 0.2476 |
| 3 | 0.3373 |
| 4 | 0.7802 |